A plane-wave DFT calculation with PBE was carried out for a geometry-optimized Ca2PHRu structure.

## Properties
As for the total energy: -4.421 eV/atom. Its space group is No. 123. For the density of states at the Fermi level, the calculation gives 0.43 states/eV/atom. The calculated volume comes out at 129.66 Å³/cell.

Geometry as CIF:
```
data_Ca2PHRu
_chemical_formula_sum 'Ca2 P1 H1 Ru1'
_symmetry_space_group_name_H-M 'P 1'
_symmetry_Int_Tables_number 1
_cell_length_a 5.511
_cell_length_b 5.511
_cell_length_c 4.268
_cell_angle_alpha 90.00
_cell_angle_beta 90.00
_cell_angle_gamma 90.00
loop_
_symmetry_equiv_pos_as_xyz
'x,y,z'
loop_
_atom_site_label
_atom_site_type_symbol
_atom_site_fract_x
_atom_site_fract_y
_atom_site_fract_z
Ca1 Ca 0.000 0.500 0.000
Ca2 Ca 0.500 0.000 0.000
P1 P 0.000 0.000 0.000
H1 H 0.500 0.500 0.500
Ru1 Ru 0.000 0.000 0.500
```